NbInAgO3: relaxed, GGA-PBE.

* VASP energy: -157.4 eV per cell

The structure in CIF format:
```
data_NbInAgO3
_space_group_name_H-M_alt 'P n m a'
_space_group_IT_number 62
_cell_length_a 10.985
_cell_length_b 3.077
_cell_length_c 10.285
_cell_angle_alpha 90.00
_cell_angle_beta 90.00
_cell_angle_gamma 90.00
loop_
_space_group_symop_operation_xyz
'x,y,z'
'-x,-y,-z'
'-x+1/2,-y,z+1/2'
'x+1/2,y,-z+1/2'
'x+1/2,-y+1/2,-z+1/2'
'-x+1/2,y+1/2,z+1/2'
'-x,y+1/2,-z'
'x,-y+1/2,z'
loop_
_atom_site_label
_atom_site_type_symbol
_atom_site_fract_x
_atom_site_fract_y
_atom_site_fract_z
Nb1 Nb 0.033 0.250 0.142
In1 In 0.229 0.750 0.397
Ag1 Ag 0.088 0.250 0.568
O1 O 0.082 0.250 0.794
O2 O 0.097 0.750 0.022
O3 O 0.174 0.250 0.246
```